The following is a DFT calculation (PBE) of an optimized crystal structure of LiSm2SO2.

a = 3.6534 Å, b = 3.6534 Å, c = 8.4853 Å
α = 90.00°, β = 90.00°, γ = 120.00°
Atoms (fractional coordinates):
1 O 0.3333 0.6667 0.6500
2 O 0.6667 0.3333 0.3500
3 Sm 0.6667 0.3333 0.7860
4 S 0.0000 0.0000 0.0000
5 Li 0.0000 0.0000 0.5000
6 Sm 0.3333 0.6667 0.2140

**Total magnetic moment**: 0.000 μB per atom
**E**: -6.56 eV per atom
**Space group**: P-3m1 (164)
**Raw formation energy**: -2.328 eV/atom

The following is a DFT calculation (PBE) of an optimized crystal structure of LiThS2O8.

a = 5.1835 Å, b = 5.1835 Å, c = 6.9273 Å
α = 90.00°, β = 90.00°, γ = 120.00°
Atoms (fractional coordinates):
1 S 0.6667 0.3333 0.2733
2 Th 0.0000 0.0000 0.5000
3 O 0.1755 0.8245 0.7920
4 O 0.8245 0.1755 0.2080
5 O 0.3333 0.6667 0.5082
6 Li 0.0000 0.0000 0.0000
7 S 0.3333 0.6667 0.7267
8 O 0.6667 0.3333 0.4918
9 O 0.6490 0.8245 0.7920
10 O 0.1755 0.3510 0.7920
11 O 0.3510 0.1755 0.2080
12 O 0.8245 0.6490 0.2080

**Total magnetic moment**: 0.080 μB per atom
**E**: -6.62 eV per atom
**Space group**: P-3m1 (164)
**Raw formation energy**: -1.853 eV/atom